No. 1
This record from Alexandria describes KY2P after structural relaxation. The functional is PBE.

Output
energy relative to the elements = 0.143 eV/atom
raw total energy = -4.7162 eV/atom
total magnetic moment = 0.0 μB/f.u.

The structure in CIF format:
```
data_KY2P
_symmetry_space_group_name_H-M 'P 1'
_symmetry_Int_Tables_number 1
_cell_length_a 5.794
_cell_length_b 5.794
_cell_length_c 5.794
_cell_angle_alpha 131.99
_cell_angle_beta 131.99
_cell_angle_gamma 70.25
loop_
_symmetry_equiv_pos_as_xyz
'x,y,z'
loop_
_atom_site_label
_atom_site_fract_x
_atom_site_fract_y
_atom_site_fract_z
_atom_site_occupancy
P1 0.750 0.250 0.500 1
Y1 0.000 0.000 0.000 1
K1 0.250 0.750 0.500 1
Y2 0.500 0.500 0.000 1
```

---

No. 2
This record from Alexandria describes KY2P after structural relaxation. The functional is PBE.

Output
energy relative to the elements = -0.402 eV/atom
raw total energy = -5.2608 eV/atom
total magnetic moment = 1.0 μB/f.u.

The structure in CIF format:
```
data_KY2P
_symmetry_space_group_name_H-M 'P 1'
_symmetry_Int_Tables_number 1
_cell_length_a 10.674
_cell_length_b 10.674
_cell_length_c 10.674
_cell_angle_alpha 159.84
_cell_angle_beta 159.24
_cell_angle_gamma 29.09
loop_
_symmetry_equiv_pos_as_xyz
'x,y,z'
loop_
_atom_site_label
_atom_site_fract_x
_atom_site_fract_y
_atom_site_fract_z
_atom_site_occupancy
Y1 0.748 0.248 0.500 1
P1 0.208 0.708 0.500 1
K1 0.438 0.438 0.000 1
Y2 0.106 0.106 0.000 1
```

---

No. 3
This record from Alexandria describes KY2P after structural relaxation. The functional is PBE.

Output
energy relative to the elements = -0.394 eV/atom
raw total energy = -5.2524 eV/atom
total magnetic moment = 0.0 μB/f.u.

The structure in CIF format:
```
data_KY2P
_symmetry_space_group_name_H-M 'P 1'
_symmetry_Int_Tables_number 1
_cell_length_a 6.902
_cell_length_b 6.902
_cell_length_c 6.902
_cell_angle_alpha 149.20
_cell_angle_beta 127.94
_cell_angle_gamma 61.73
loop_
_symmetry_equiv_pos_as_xyz
'x,y,z'
loop_
_atom_site_label
_atom_site_fract_x
_atom_site_fract_y
_atom_site_fract_z
_atom_site_occupancy
Y1 0.078 0.078 0.000 1
Y2 0.422 0.422 0.000 1
P1 0.250 0.750 0.500 1
K1 0.750 0.250 0.500 1
```

---

No. 4
This record from Alexandria describes KZnP after structural relaxation. The functional is PBE.

Output
energy relative to the elements = -0.025 eV/atom
raw total energy = -2.6184 eV/atom
total magnetic moment = 0.0 μB/f.u.

The structure in CIF format:
```
data_KZnP
_symmetry_space_group_name_H-M 'P 1'
_symmetry_Int_Tables_number 1
_cell_length_a 6.360
_cell_length_b 6.360
_cell_length_c 6.360
_cell_angle_alpha 147.21
_cell_angle_beta 147.21
_cell_angle_gamma 47.05
loop_
_symmetry_equiv_pos_as_xyz
'x,y,z'
loop_
_atom_site_label
_atom_site_fract_x
_atom_site_fract_y
_atom_site_fract_z
_atom_site_occupancy
Zn1 0.738 0.738 0.000 1
K1 0.996 0.996 0.000 1
P1 0.266 0.266 0.000 1
```

---

No. 5
This record from Alexandria describes K2Zn2P after structural relaxation. The functional is PBE.

Output
energy relative to the elements = 0.115 eV/atom
raw total energy = -1.9151 eV/atom
relative energy among the computed polymorphs = 41.8 kJ/mol of formula units
total magnetic moment = 0.0 μB/f.u.

The structure in CIF format:
```
data_K2Zn2P
_symmetry_space_group_name_H-M 'P 1'
_symmetry_Int_Tables_number 1
_cell_length_a 3.593
_cell_length_b 3.593
_cell_length_c 11.192
_cell_angle_alpha 80.76
_cell_angle_beta 80.76
_cell_angle_gamma 90.00
loop_
_symmetry_equiv_pos_as_xyz
'x,y,z'
loop_
_atom_site_label
_atom_site_fract_x
_atom_site_fract_y
_atom_site_fract_z
_atom_site_occupancy
P1 0.000 0.000 0.000 1
K1 0.595 0.595 0.811 1
Zn1 0.750 0.250 0.500 1
Zn2 0.250 0.750 0.500 1
K2 0.405 0.405 0.189 1
```

---

No. 6
This record from Alexandria describes K2ZnP after structural relaxation. The functional is PBE.

Output
energy relative to the elements = 0.048 eV/atom
raw total energy = -2.1721 eV/atom
relative energy among the computed polymorphs = 97.9 kJ/mol of formula units
total magnetic moment = 0.0 μB/f.u.

The structure in CIF format:
```
data_K2ZnP
_symmetry_space_group_name_H-M 'P 1'
_symmetry_Int_Tables_number 1
_cell_length_a 3.661
_cell_length_b 3.661
_cell_length_c 9.823
_cell_angle_alpha 90.00
_cell_angle_beta 90.00
_cell_angle_gamma 90.00
loop_
_symmetry_equiv_pos_as_xyz
'x,y,z'
loop_
_atom_site_label
_atom_site_fract_x
_atom_site_fract_y
_atom_site_fract_z
_atom_site_occupancy
P1 0.000 0.000 0.604 1
Zn1 0.500 0.500 0.639 1
K1 0.000 0.000 0.924 1
K2 0.500 0.500 0.333 1
```

---

No. 7
This record from Alexandria describes KZnP after structural relaxation. The functional is PBE.

Output
energy relative to the elements = -0.380 eV/atom
raw total energy = -2.9740 eV/atom
total magnetic moment = 0.0 μB/f.u.

The structure in CIF format:
```
data_KZnP
_symmetry_space_group_name_H-M 'P 1'
_symmetry_Int_Tables_number 1
_cell_length_a 4.099
_cell_length_b 7.727
_cell_length_c 10.197
_cell_angle_alpha 90.00
_cell_angle_beta 90.00
_cell_angle_gamma 90.00
loop_
_symmetry_equiv_pos_as_xyz
'x,y,z'
loop_
_atom_site_label
_atom_site_fract_x
_atom_site_fract_y
_atom_site_fract_z
_atom_site_occupancy
Zn1 0.750 0.607 0.991 1
K1 0.250 0.984 0.820 1
K2 0.250 0.484 0.680 1
Zn2 0.750 0.107 0.509 1
K3 0.750 0.516 0.320 1
Zn3 0.250 0.393 0.009 1
P1 0.250 0.206 0.422 1
P2 0.750 0.794 0.578 1
P3 0.750 0.294 0.922 1
K4 0.750 0.016 0.180 1
Zn4 0.250 0.893 0.491 1
P4 0.250 0.706 0.078 1
```

---

No. 8
This record from Alexandria describes K2ZnP after structural relaxation. The functional is PBE.

Output
energy relative to the elements = 0.130 eV/atom
raw total energy = -2.0900 eV/atom
relative energy among the computed polymorphs = 129.6 kJ/mol of formula units
total magnetic moment = 0.0 μB/f.u.

The structure in CIF format:
```
data_K2ZnP
_symmetry_space_group_name_H-M 'P 1'
_symmetry_Int_Tables_number 1
_cell_length_a 5.518
_cell_length_b 5.518
_cell_length_c 5.518
_cell_angle_alpha 60.00
_cell_angle_beta 60.00
_cell_angle_gamma 60.00
loop_
_symmetry_equiv_pos_as_xyz
'x,y,z'
loop_
_atom_site_label
_atom_site_fract_x
_atom_site_fract_y
_atom_site_fract_z
_atom_site_occupancy
P1 0.000 0.000 0.000 1
K1 0.250 0.250 0.250 1
Zn1 0.500 0.500 0.500 1
K2 0.750 0.750 0.750 1
```